1.
Here is a geometry-optimized AcPrHoLu structure from Alexandria. Energies are from PBE.

Cell lengths 5.8454, 5.8454, 5.8454 Å; angles 60.00, 60.00, 60.00 degrees
Positions (direct):
Ac1 0.0000 0.0000 0.0000
Pr1 0.5000 0.5000 0.5000
Ho1 0.7500 0.7500 0.7500
Lu1 0.2500 0.2500 0.2500

VASP energy ... -4.399 eV per atom
Formation energy ... 0.10 eV per atom
Theoretical density ... 8.32 Mg/m³

***

2.
Here is a geometry-optimized ZrFeSi structure from Alexandria. Energies are from PBE.

Cell lengths 6.8338, 6.8338, 6.8338 Å; angles 35.21, 35.21, 35.21 degrees
Positions (direct):
Zr1 0.0000 0.0000 0.0000
Zr2 0.1624 0.1624 0.1624
Fe1 0.4387 0.4387 0.4387
Fe2 0.8697 0.8697 0.8697
Si1 0.5742 0.5742 0.5742
Si2 0.7441 0.7441 0.7441

VASP energy ... -7.993 eV per atom
Theoretical density ... 6.14 Mg/m³
Energy relative to the elements, uncorrected ... -1.54 eV/f.u.

***

3.
Here is a geometry-optimized Ca2HgBr structure from Alexandria. Energies are from PBE.

Cell lengths 5.6665, 5.6665, 5.6665 Å; angles 126.05, 126.05, 79.81 degrees
Positions (direct):
Ca1 0.2500 0.7500 0.5000
Ca2 0.7500 0.2500 0.5000
Hg1 0.0000 0.0000 0.0000
Br1 0.5000 0.5000 0.0000

VASP energy ... -2.190 eV per atom
Theoretical density ... 5.21 Mg/m³
Energy relative to the elements, uncorrected ... -2.78 eV/f.u.

***

4.
Here is a geometry-optimized AcNdP2Rh2 structure from Alexandria. Energies are from PBE.

Cell lengths 4.1387, 4.1387, 8.5059 Å; angles 90.00, 90.00, 120.00 degrees
Positions (direct):
Ac1 0.0000 0.0000 0.0000
Nd1 0.0000 0.0000 0.5000
P1 0.3333 0.6667 0.2714
P2 0.6667 0.3333 0.7286
Rh1 0.3333 0.6667 0.7491
Rh2 0.6667 0.3333 0.2509

VASP energy ... -6.919 eV per atom
Formation energy ... -1.19 eV per atom
Theoretical density ... 8.41 Mg/m³

***

5.
Here is a geometry-optimized SmPuRe structure from Alexandria. Energies are from PBE.

Cell lengths 6.7282, 6.7282, 6.7282 Å; angles 150.92, 150.92, 41.59 degrees
Positions (direct):
Sm1 0.0000 0.0000 0.0000
Pu1 0.2767 0.2767 0.0000
Re1 0.6499 0.6499 0.0000

VASP energy ... -10.266 eV per atom
Formation energy ... 0.23 eV per atom
Theoretical density ... 13.43 Mg/m³

***

6.
Here is a geometry-optimized Nd2Ga4Ir3Pt structure from Alexandria. Energies are from PBE.

Cell lengths 4.2523, 4.2523, 10.4979 Å; angles 90.00, 90.00, 90.00 degrees
Positions (direct):
Nd1 0.0000 0.5000 0.2466
Nd2 0.5000 0.0000 0.7534
Ga1 0.0000 0.0000 0.5000
Ga2 0.0000 0.5000 0.8696
Ga3 0.5000 0.0000 0.1304
Ga4 0.5000 0.5000 0.5000
Ir1 0.0000 0.0000 0.0000
Ir2 0.0000 0.5000 0.6329
Ir3 0.5000 0.0000 0.3671
Pt1 0.5000 0.5000 0.0000

VASP energy ... -6.193 eV per atom
Formation energy ... -0.77 eV per atom
Theoretical density ... 11.71 Mg/m³

***

7.
Here is a geometry-optimized RbY3Re structure from Alexandria. Energies are from PBE.

Cell lengths 5.2343, 5.2343, 5.2343 Å; angles 90.00, 90.00, 90.00 degrees
Positions (direct):
Rb1 0.0000 0.0000 0.0000
Y1 0.0000 0.0000 0.5000
Y2 0.0000 0.5000 0.0000
Y3 0.5000 0.0000 0.0000
Re1 0.5000 0.5000 0.5000

VASP energy ... -4.451 eV per atom
Formation energy ... 2.11 eV per atom
Theoretical density ... 6.23 Mg/m³

***

8.
Here is a geometry-optimized CaPuCu2P2 structure from Alexandria. Energies are from PBE.

Cell lengths 4.0031, 4.0031, 7.9896 Å; angles 90.00, 90.00, 120.00 degrees
Positions (direct):
Ca1 0.0000 0.0000 0.0000
Pu1 0.0000 0.0000 0.5000
Cu1 0.3333 0.6667 0.2572
Cu2 0.6667 0.3333 0.7428
P1 0.3333 0.6667 0.7446
P2 0.6667 0.3333 0.2554

VASP energy ... -6.656 eV per atom
Formation energy ... -0.76 eV per atom
Theoretical density ... 7.09 Mg/m³

***

9.
Here is a geometry-optimized MnVTc structure from Alexandria. Energies are from PBE.

Cell lengths 4.1666, 4.1666, 2.6067 Å; angles 90.00, 90.00, 120.00 degrees
Positions (direct):
Mn1 0.0000 0.0000 0.0000
V1 0.6667 0.3333 0.3223
Tc1 0.3333 0.6667 0.6376

VASP energy ... -9.621 eV per atom
Formation energy ... -0.07 eV per atom
Theoretical density ... 8.64 Mg/m³

***

10.
Here is a geometry-optimized Mg2Ga5Cu3 structure from Alexandria. Energies are from PBE.

Cell lengths 8.3873, 8.3873, 8.3873 Å; angles 101.01, 90.85, 142.57 degrees
Positions (direct):
Mg1 0.2271 0.1394 0.3666
Mg2 0.2729 0.6394 0.9123
Mg3 0.7271 0.3606 0.0877
Mg4 0.7729 0.8606 0.6334
Ga1 0.1537 0.4002 0.5539
Ga2 0.2500 0.2500 0.0000
Ga3 0.2500 0.5085 0.2585
Ga4 0.2500 0.9915 0.7415
Ga5 0.3463 0.9002 0.2466
Ga6 0.6537 0.0998 0.7534
Ga7 0.7500 0.0085 0.2585
Ga8 0.7500 0.4915 0.7415
Ga9 0.7500 0.7500 0.0000
Ga10 0.8463 0.5998 0.4461
Cu1 0.1436 0.8728 0.0163
Cu2 0.2500 0.7500 0.5000
Cu3 0.3564 0.3728 0.7292
Cu4 0.6436 0.6272 0.2708
Cu5 0.7500 0.2500 0.5000
Cu6 0.8564 0.1272 0.9837

VASP energy ... -3.150 eV per atom
Formation energy ... -0.09 eV per atom
Theoretical density ... 5.78 Mg/m³

***

11.
Here is a geometry-optimized PrNdHo4 structure from Alexandria. Energies are from PBE.

Cell lengths 6.2217, 6.2217, 12.1464 Å; angles 104.72, 104.72, 60.04 degrees
Positions (direct):
Pr1 0.0000 0.5000 0.0000
Pr2 0.5000 0.0000 0.5000
Nd1 0.0797 0.9203 0.2500
Nd2 0.9203 0.0797 0.7500
Ho1 0.1681 0.6634 0.4998
Ho2 0.2508 0.4178 0.7500
Ho3 0.3366 0.8319 0.0002
Ho4 0.4178 0.2508 0.2500
Ho5 0.5822 0.7492 0.7500
Ho6 0.6634 0.1681 0.9998
Ho7 0.7492 0.5822 0.2500
Ho8 0.8319 0.3366 0.5002

VASP energy ... -4.636 eV per atom
Formation energy ... 0.01 eV per atom
Theoretical density ... 8.06 Mg/m³

***

12.
Here is a geometry-optimized PmPd8Au6 structure from Alexandria. Energies are from PBE.

Cell lengths 7.7249, 7.7249, 5.2938 Å; angles 90.00, 90.00, 120.00 degrees
Positions (direct):
Pm1 0.0000 0.0000 0.0000
Pd1 0.0455 0.2978 0.3401
Pd2 0.2522 0.9545 0.3401
Pd3 0.2978 0.2522 0.6599
Pd4 0.3333 0.6667 0.2559
Pd5 0.6667 0.3333 0.7441
Pd6 0.7022 0.7478 0.3401
Pd7 0.7478 0.0455 0.6599
Pd8 0.9545 0.7022 0.6599
Au1 0.1008 0.4462 0.8259
Au2 0.3454 0.8992 0.8259
Au3 0.4462 0.3454 0.1741
Au4 0.5538 0.6546 0.8259
Au5 0.6546 0.1008 0.1741
Au6 0.8992 0.5538 0.1741

VASP energy ... -4.506 eV per atom
Formation energy ... -0.11 eV per atom
Theoretical density ... 13.22 Mg/m³